The following is a DFT calculation (PBE) of crystalline Rb4Ir at its relaxed geometry.

Geometry as POSCAR:
```
Rb4Ir
1.0
6.6515 0.0000 0.0000
0.0000 6.6515 0.0000
0.0000 0.0000 6.6515
Rb Ir
4 1
direct
0.0000 0.0000 0.0000
0.0000 0.5000 0.5000
0.5000 0.0000 0.5000
0.5000 0.5000 0.0000
0.5000 0.5000 0.5000
```

Its space group is Pm-3m, No. 221. For the calculated total energy, the calculation gives -1.923 eV/atom. The total magnetization is 0.76 Bohr magnetons per cell. The crystal system is cubic. The calculation puts the density of states at the Fermi level at 5.27 states/eV/cell.